1.
# Sr2IrPt | Alexandria via LeMat-Bulk | GGA-PBE | relaxed
# - energy of formation from the pure elements (meV per atom) = -22
data_Sr2IrPt
_chemical_formula_sum 'Sr2 Ir1 Pt1'
_space_group_name_H-M_alt 'P m m 2'
_space_group_IT_number 25
_cell_length_a 3.103
_cell_length_b 5.353
_cell_length_c 6.036
_cell_angle_alpha 90.00
_cell_angle_beta 90.00
_cell_angle_gamma 90.00
loop_
_space_group_symop_operation_xyz
'x,y,z'
'-x,-y,z'
'-x,y,z'
'x,-y,z'
loop_
_atom_site_label
_atom_site_type_symbol
_atom_site_fract_x
_atom_site_fract_y
_atom_site_fract_z
Sr1 Sr 0.000 0.000 0.000
Sr2 Sr 0.500 0.500 0.498
Ir1 Ir 0.000 0.000 0.500
Pt1 Pt 0.500 0.500 0.998

=====

2.
# VSiRh3 | Alexandria via LeMat-Bulk | GGA-PBE | relaxed
# - uncorrected formation energy (meV per atom) = 225
data_VSiRh3
_chemical_formula_sum 'V1 Si1 Rh3'
_space_group_name_H-M_alt 'P m -3 m'
_space_group_IT_number 221
_space_group_name_Hall '-P 4 2 3'
_cell_length_a 4.366
_cell_length_b 4.366
_cell_length_c 4.366
_cell_angle_alpha 90.00
_cell_angle_beta 90.00
_cell_angle_gamma 90.00
loop_
_atom_site_label
_atom_site_type_symbol
_atom_site_fract_x
_atom_site_fract_y
_atom_site_fract_z
V1 V 0.000 0.000 0.000
Si1 Si 0.500 0.500 0.500
Rh1 Rh 0.000 0.500 0.500

=====

3.
# Fe2AsPt | Alexandria via LeMat-Bulk | GGA-PBE | relaxed
# - energy of formation from the pure elements (meV per atom) = 2
data_Fe2AsPt
_chemical_formula_sum 'Fe4 As2 Pt2'
_space_group_name_H-M_alt 'C m m m'
_space_group_IT_number 65
_space_group_name_Hall '-C 2 2'
_cell_length_a 5.209
_cell_length_b 7.756
_cell_length_c 2.784
_cell_angle_alpha 90.00
_cell_angle_beta 90.00
_cell_angle_gamma 90.00
loop_
_atom_site_label
_atom_site_type_symbol
_atom_site_fract_x
_atom_site_fract_y
_atom_site_fract_z
Fe1 Fe 0.250 0.250 0.000
As1 As 0.000 0.000 0.500
Pt1 Pt 0.000 0.500 0.500

=====

4.
# Th5Mn2Bi2 | Alexandria via LeMat-Bulk | GGA-PBE | relaxed
# - energy of formation from the pure elements (meV per atom) = -183
data_Th5Mn2Bi2
_chemical_formula_sum 'Th20 Mn8 Bi8'
_space_group_name_H-M_alt 'C m c e'
_space_group_IT_number 64
_space_group_name_Hall '-C 2ac 2'
_cell_length_a 16.286
_cell_length_b 7.905
_cell_length_c 7.990
_cell_angle_alpha 90.00
_cell_angle_beta 90.00
_cell_angle_gamma 90.00
loop_
_atom_site_label
_atom_site_type_symbol
_atom_site_fract_x
_atom_site_fract_y
_atom_site_fract_z
Th1 Th 0.000 0.000 0.000
Th2 Th 0.115 0.165 0.333
Mn1 Mn 0.000 0.123 0.617
Bi1 Bi 0.212 0.000 0.000

=====

5.
# CaCrAu | Alexandria via LeMat-Bulk | GGA-PBE | relaxed
# - energy of formation from the pure elements (meV per atom) = 495
data_CaCrAu
_chemical_formula_sum 'Ca4 Cr4 Au4'
_space_group_name_H-M_alt 'F -4 3 m'
_space_group_IT_number 216
_space_group_name_Hall 'F -4 2 3'
_cell_length_a 6.863
_cell_length_b 6.863
_cell_length_c 6.863
_cell_angle_alpha 90.00
_cell_angle_beta 90.00
_cell_angle_gamma 90.00
loop_
_atom_site_label
_atom_site_type_symbol
_atom_site_fract_x
_atom_site_fract_y
_atom_site_fract_z
Ca1 Ca 0.000 0.000 0.000
Cr1 Cr 0.250 0.250 0.750
Au1 Au 0.250 0.250 0.250

=====

6.
# Li2TcPt | Alexandria via LeMat-Bulk | GGA-PBE | relaxed
# - energy of formation from the pure elements (meV per atom) = -102
data_Li2TcPt
_chemical_formula_sum 'Li4 Tc2 Pt2'
_space_group_name_H-M_alt 'C 1 2/m 1'
_space_group_IT_number 12
_cell_length_a 5.356
_cell_length_b 9.166
_cell_length_c 2.644
_cell_angle_alpha 90.00
_cell_angle_beta 117.79
_cell_angle_gamma 90.00
loop_
_space_group_symop_operation_xyz
'x,y,z'
'-x,-y,-z'
'-x,y,-z'
'x,-y,z'
'x+1/2,y+1/2,z'
'-x+1/2,-y+1/2,-z'
'-x+1/2,y+1/2,-z'
'x+1/2,-y+1/2,z'
loop_
_atom_site_label
_atom_site_type_symbol
_atom_site_fract_x
_atom_site_fract_y
_atom_site_fract_z
Li1 Li 0.250 0.250 0.000
Tc1 Tc 0.000 0.000 0.500
Pt1 Pt 0.000 0.500 0.500

=====

7.
# Ta2AlW | Alexandria via LeMat-Bulk | GGA-PBE | relaxed
# - energy of formation from the pure elements (meV per atom) = -79
data_Ta2AlW
_chemical_formula_sum 'Ta4 Al2 W2'
_space_group_name_H-M_alt 'C 1 m 1'
_space_group_IT_number 8
_cell_length_a 10.089
_cell_length_b 3.362
_cell_length_c 4.500
_cell_angle_alpha 90.00
_cell_angle_beta 116.29
_cell_angle_gamma 90.00
loop_
_space_group_symop_operation_xyz
'x,y,z'
'x,-y,z'
'x+1/2,y+1/2,z'
'x+1/2,-y+1/2,z'
loop_
_atom_site_label
_atom_site_type_symbol
_atom_site_fract_x
_atom_site_fract_y
_atom_site_fract_z
Ta1 Ta 0.000 0.000 0.000
Ta2 Ta 0.247 0.000 0.748
Al1 Al 0.483 0.000 0.483
W1 W 0.234 0.500 0.235

=====

8.
# PaBePb | Alexandria via LeMat-Bulk | GGA-PBE | relaxed
# - energy of formation from the pure elements (meV per atom) = 151
data_PaBePb
_chemical_formula_sum 'Pa4 Be4 Pb4'
_space_group_name_H-M_alt 'C m c m'
_space_group_IT_number 63
_space_group_name_Hall '-C 2c 2'
_cell_length_a 4.454
_cell_length_b 15.930
_cell_length_c 3.669
_cell_angle_alpha 90.00
_cell_angle_beta 90.00
_cell_angle_gamma 90.00
loop_
_atom_site_label
_atom_site_type_symbol
_atom_site_fract_x
_atom_site_fract_y
_atom_site_fract_z
Pa1 Pa 0.000 0.076 0.250
Be1 Be 0.000 0.467 0.250
Pb1 Pb 0.000 0.303 0.250

=====

9.
# MgOsCl2 | Alexandria via LeMat-Bulk | GGA-PBE | relaxed
# - uncorrected formation energy (meV per atom) = 584
data_MgOsCl2
_chemical_formula_sum 'Mg1 Os1 Cl2'
_space_group_name_H-M_alt 'P 4/m m m'
_space_group_IT_number 123
_space_group_name_Hall '-P 4 2'
_cell_length_a 4.489
_cell_length_b 4.489
_cell_length_c 3.188
_cell_angle_alpha 90.00
_cell_angle_beta 90.00
_cell_angle_gamma 90.00
loop_
_atom_site_label
_atom_site_type_symbol
_atom_site_fract_x
_atom_site_fract_y
_atom_site_fract_z
Mg1 Mg 0.000 0.000 0.000
Os1 Os 0.500 0.500 0.000
Cl1 Cl 0.000 0.500 0.500

=====

Number 1: total moment 0.000 μB per atom, mass density 9.3 Mg/m³. Number 2: total moment 0.403 μB per atom, mass density 7.7 Mg/m³. Number 3: total moment 1.409 μB per atom, mass density 11.3 Mg/m³. Number 4: total moment 0.200 μB per atom, mass density 10.9 Mg/m³. Number 5: total moment 1.683 μB per atom, mass density 5.9 Mg/m³. Number 6: total moment 0.181 μB per atom, mass density 8.9 Mg/m³. Number 7: total moment 0.000 μB per atom, mass density 13.9 Mg/m³. Number 8: total moment 0.000 μB per atom, mass density 11.4 Mg/m³. Number 9: total moment 0.000 μB per atom, mass density 7.4 Mg/m³.